P:
Material: Hf2MgB
Method: DFT, PBE
State: relaxed

```
Hf2MgB
1.0
-4.2600 -1.5371 -0.4743
-2.9027 0.2193 3.5016
-3.4804 2.9343 -0.1081
Mg B Hf
1 1 2
Cartesian
-5.3216 0.8083 1.4596
0.0000 0.0000 0.0000
-2.6608 0.4041 0.7298
-7.9824 1.2124 2.1894
```

Summary:
- theoretical density (g cm⁻³) = 9.75

Q:
Material: Hf2MgB
Method: DFT, PBE
State: relaxed

```
Hf2MgB
1.0
7.2251 0.0000 0.0000
0.0000 7.2251 0.0000
3.6125 3.6125 2.8800
Mg B Hf
2 2 4
Cartesian
0.0000 0.0000 0.0000
7.2251 3.6125 1.4400
3.6125 3.6125 0.0000
3.6125 7.2251 1.4400
4.8975 1.8063 0.7200
2.3276 5.4188 0.7200
5.4188 5.9401 2.1600
9.0313 8.5100 2.1600
```

Summary:
- theoretical density (g cm⁻³) = 8.66

Energies relative to the most stable structure are P 180; Q 0, reported in meV per atom.

P:
Material: HfMg6BO8
Method: DFT, PBE
State: relaxed

```
HfMg6BO8
1.0
4.2741 0.0000 0.0000
0.0000 4.2741 0.0000
0.0000 0.0000 8.9365
Hf Mg B O
1 6 1 8
Cartesian
2.1370 2.1370 0.0000
0.0000 0.0000 4.4682
2.1370 2.1370 4.4682
0.0000 2.1370 2.3056
0.0000 2.1370 6.6308
2.1370 0.0000 2.3056
2.1370 0.0000 6.6308
0.0000 0.0000 0.0000
0.0000 0.0000 2.4226
0.0000 0.0000 6.5139
2.1370 2.1370 2.2451
2.1370 2.1370 6.6914
0.0000 2.1370 0.0000
0.0000 2.1370 4.4682
2.1370 0.0000 0.0000
2.1370 0.0000 4.4682
```

Summary:
- theoretical density (g cm⁻³) = 4.71

Q:
Material: HfMg6BO8
Method: DFT, PBE
State: relaxed

```
HfMg6BO8
1.0
4.2561 0.0000 0.0000
0.0000 4.2561 0.0000
0.0000 0.0000 9.3774
Hf Mg B O
1 6 1 8
Cartesian
0.0000 0.0000 4.6887
2.1281 2.1281 0.0000
2.1281 2.1281 4.6887
0.0000 2.1281 2.0610
0.0000 2.1281 7.3164
2.1281 0.0000 2.0610
2.1281 0.0000 7.3164
0.0000 0.0000 0.0000
0.0000 0.0000 2.6385
0.0000 0.0000 6.7389
2.1281 2.1281 2.2707
2.1281 2.1281 7.1067
0.0000 2.1281 0.0000
0.0000 2.1281 4.6887
2.1281 0.0000 0.0000
2.1281 0.0000 4.6887
```

Summary:
- theoretical density (g cm⁻³) = 4.53

Energies relative to the most stable structure are P 0; Q 7, reported in meV per atom.

P:
Material: HfMnB3
Method: DFT, PBE
State: relaxed

```
HfMnB3
1.0
4.3215 0.0000 0.0000
0.0000 4.3215 0.0000
0.0000 0.0000 4.3215
B Mn Hf
3 1 1
Cartesian
0.0000 2.1608 0.0000
0.0000 0.0000 2.1608
2.1608 0.0000 0.0000
2.1608 2.1608 2.1608
0.0000 0.0000 0.0000
```

Summary:
- theoretical density (g cm⁻³) = 5.47

Q:
Material: HfMnB3
Method: DFT, PBE
State: relaxed

```
HfMnB3
1.0
3.7526 0.0000 0.0000
0.0000 3.7526 0.0000
0.0000 0.0000 3.7526
B Mn Hf
3 1 1
Cartesian
0.0000 1.8763 0.0000
0.0000 0.0000 1.8763
1.8763 0.0000 0.0000
0.0000 0.0000 0.0000
1.8763 1.8763 1.8763
```

Summary:
- theoretical density (g cm⁻³) = 8.35

Energies relative to the most stable structure are P 1569; Q 0, reported in meV per atom.

P:
Material: HfMnB2
Method: DFT, PBE
State: relaxed

```
HfMnB2
1.0
3.4283 0.0000 0.0000
1.7141 2.9690 0.0000
1.7141 0.9897 4.2371
B Mn Hf
2 1 1
Cartesian
1.7141 0.9897 0.5415
5.1424 2.9690 3.6957
0.0000 0.0000 0.0000
3.4283 1.9793 2.1186
```

Summary:
- theoretical density (g cm⁻³) = 9.82

Q:
Material: HfMnB2
Method: DFT, PBE
State: relaxed

```
HfMnB2
1.0
-2.0388 -2.6504 -1.8190
2.2472 0.3650 -3.0507
4.1766 -5.9401 -0.0090
B Mn Hf
4 2 2
Cartesian
0.5608 -2.4329 -1.0654
1.6839 -2.2512 -2.5913
3.7728 -5.2208 -2.5959
2.7528 -6.5461 -3.5046
0.1042 -1.1427 -2.4348
3.2641 -3.3589 -2.7472
0.0000 0.0000 0.0000
1.1211 -4.8666 -2.1314
```

Summary:
- theoretical density (g cm⁻³) = 8.67

Energies relative to the most stable structure are P 0; Q 351, reported in meV per atom.

P:
Material: HfBMo3
Method: DFT, PBE
State: relaxed

```
HfBMo3
1.0
-0.3594 4.2663 0.2116
-3.1733 -0.1245 -2.8792
-2.8593 -0.3980 3.1687
Mo B Hf
3 1 1
Cartesian
-1.5867 -0.0623 -1.4396
-1.4297 -0.1990 1.5843
-0.1797 2.1331 0.1058
0.0000 0.0000 0.0000
-3.1960 1.8719 0.2506
```

Summary:
- theoretical density (g cm⁻³) = 10.06

Q:
Material: HfBMo3
Method: DFT, PBE
State: relaxed

```
HfBMo3
1.0
4.7495 0.0000 0.0000
0.0000 4.7495 0.0000
0.0000 0.0000 4.7495
Mo B Hf
3 1 1
Cartesian
0.0000 2.3748 0.0000
0.0000 0.0000 2.3748
2.3748 0.0000 0.0000
2.3748 2.3748 2.3748
0.0000 0.0000 0.0000
```

Summary:
- theoretical density (g cm⁻³) = 7.39

Energies relative to the most stable structure are P 0; Q 2832, reported in meV per atom.

P:
Material: Hf2B2Mo
Method: DFT, PBE
State: relaxed

```
Hf2B2Mo
1.0
-1.3847 3.0484 -0.1976
-1.7353 1.3447 4.4413
2.7150 3.2454 2.5769
Hf B Mo
2 2 1
Cartesian
-0.0165 1.9649 1.9639
-0.3886 5.6736 4.8566
0.5759 4.1517 3.0842
-0.9809 3.4868 3.7364
0.0000 0.0000 0.0000
```

Summary:
- theoretical density (g cm⁻³) = 11.69

Q:
Material: Hf2B2Mo
Method: DFT, PBE
State: relaxed

```
Hf2B2Mo
1.0
-2.6243 -5.6992 -0.5972
4.7854 -1.8183 -3.6768
1.6920 -1.0651 2.7289
Mo B Hf
2 4 4
Cartesian
0.0000 0.0000 0.0000
1.0805 -3.7587 -2.1370
3.2504 -3.8927 -3.5346
0.5325 -6.2082 -2.7532
-1.0893 -3.6248 -0.7393
1.6286 -1.3093 -1.5208
3.6370 -2.8271 -1.2616
2.9537 -5.9157 -2.0434
0.2161 -5.7555 -0.2835
0.8994 -2.6669 0.4983
```

Summary:
- theoretical density (g cm⁻³) = 11.73

Energies relative to the most stable structure are P 39; Q 0, reported in meV per atom.